Record 1
Material: SrFeSn2Pt
Method: DFT, GGA-PBEsol
State: optimized geometry

The spin magnetization is 2.2 μB per cell. As for the energy of formation from the pure elements: -50.3 kJ/mol of formula units. Its calculated volume is 115.4 Å³ per cell. For the raw total energy, the calculation gives -5.36 eV/atom.

The space group is P4/mmm (No. 123) and the conventional cell measures 4.833, 4.833 and 4.940 Å, with angles of 90.00, 90.00 and 90.00 degrees. The distinct sites, in fractional coordinates, are Sr at (0.000, 0.000, 0.000), Fe at (0.500, 0.500, 0.500), Sn at (0.000, 0.500, 0.500) and Pt at (0.500, 0.500, 0.000).

---

Record 2
Material: SrFe3Pt
Method: DFT, GGA-PBEsol
State: optimized geometry

The spin magnetization is 7.5 μB per cell. As for the energy of formation from the pure elements: 1125.6 kJ/mol of formula units. Its calculated volume is 87.4 Å³ per cell. For the raw total energy, the calculation gives -4.81 eV/atom.

The space group is Pm-3m (No. 221) and the conventional cell measures 4.437, 4.437 and 4.437 Å, with angles of 90.00, 90.00 and 90.00 degrees. The distinct sites, in fractional coordinates, are Sr at (0.000, 0.000, 0.000), Fe at (0.000, 0.000, 0.500) and Pt at (0.500, 0.500, 0.500).

---

Record 3
Material: SrFe2Pt
Method: DFT, GGA-PBEsol
State: optimized geometry

The spin magnetization is 13.7 μB per cell. As for the energy of formation from the pure elements: 10.9 kJ/mol of formula units. Its calculated volume is 243.4 Å³ per cell. For the raw total energy, the calculation gives -6.65 eV/atom.

The space group is R3m (No. 160, hexagonal axes) and the conventional cell measures 4.1853, 4.1853 and 16.0444 Å, with angles of 90.00, 90.00 and 120.00 degrees. The distinct sites, in fractional coordinates, are Sr at (0.0000, 0.0000, 0.0000), Fe at (0.0000, 0.0000, 0.5073), Fe at (0.0000, 0.0000, 0.8113) and Pt at (0.0000, 0.0000, 0.1894).

---

Record 4
Material: SrFe2Pt
Method: DFT, GGA-PBEsol
State: optimized geometry

The spin magnetization is 11.7 μB per cell. As for the energy of formation from the pure elements: 194.9 kJ/mol of formula units. Its calculated volume is 136.8 Å³ per cell. For the raw total energy, the calculation gives -6.18 eV/atom.

The space group is I4/mmm (No. 139) and the conventional cell measures 3.998, 3.998 and 8.557 Å, with angles of 90.00, 90.00 and 90.00 degrees. The distinct sites, in fractional coordinates, are Sr at (0.000, 0.000, 0.000), Fe at (0.000, 0.500, 0.250) and Pt at (0.000, 0.000, 0.500).

---

Record 5
Material: TaFe2Pt
Method: DFT, GGA-PBEsol
State: optimized geometry

The spin magnetization is 14.4 μB per cell. As for the energy of formation from the pure elements: 21.9 kJ/mol of formula units. Its calculated volume is 168.5 Å³ per cell. As for the offset from the most stable computed form: 392 meV per atom. For the raw total energy, the calculation gives -9.30 eV/atom.

The space group is R3m (No. 160, hexagonal axes) and the conventional cell measures 2.7861, 2.7861 and 25.0703 Å, with angles of 90.00, 90.00 and 120.00 degrees. The distinct sites, in fractional coordinates, are Ta at (0.0000, 0.0000, 0.0000), Fe at (0.0000, 0.0000, 0.4909), Fe at (0.0000, 0.0000, 0.7532) and Pt at (0.0000, 0.0000, 0.2423).

---

Record 6
Material: TaFePt
Method: DFT, GGA-PBEsol
State: optimized geometry

The spin magnetization is 9.1 μB per cell. As for the energy of formation from the pure elements: -69.9 kJ/mol of formula units. Its calculated volume is 173.7 Å³ per cell. As for the offset from the most stable computed form: 0 meV per atom. For the raw total energy, the calculation gives -9.73 eV/atom.

The space group is Fmm2 (No. 42) and the conventional cell measures 3.862, 3.878 and 11.597 Å, with angles of 90.00, 90.00 and 90.00 degrees. The distinct sites, in fractional coordinates, are Ta at (0.000, 0.000, 0.000), Fe at (0.000, 0.000, 0.668) and Pt at (0.000, 0.000, 0.322).